[1]
This record from Alexandria via LeMat-Bulk describes a geometry-optimized KLi2HgPd structure. The functional is PBE.

- calculated formation energy (eV per atom) = -0.188
- electronic total energy (hartree per atom) = -0.0835
- crystal system = tetragonal

```
data_KLi2HgPd
_space_group_name_H-M_alt 'P 4/m m m'
_space_group_IT_number 123
_space_group_name_Hall '-P 4 2'
_cell_length_a 4.953
_cell_length_b 4.953
_cell_length_c 5.388
_cell_angle_alpha 90.00
_cell_angle_beta 90.00
_cell_angle_gamma 90.00
loop_
_atom_site_label
_atom_site_fract_x
_atom_site_fract_y
_atom_site_fract_z
K1 0.000 0.000 0.000
Li1 0.000 0.500 0.500
Hg1 0.500 0.500 0.000
Pd1 0.500 0.500 0.500
```

---

[2]
This record from Alexandria via LeMat-Bulk describes a geometry-optimized LiAc3Zn2Pd6 structure. The functional is PBE.

- calculated formation energy (eV per atom) = -0.609
- electronic total energy (hartree per atom) = -0.1692
- crystal system = trigonal

```
data_LiAc3Zn2Pd6
_space_group_name_H-M_alt 'P -3 m 1'
_space_group_IT_number 164
_space_group_name_Hall '-P 3 2"'
_cell_length_a 5.8974
_cell_length_b 5.8974
_cell_length_c 8.9081
_cell_angle_alpha 90.00
_cell_angle_beta 90.00
_cell_angle_gamma 120.00
loop_
_atom_site_label
_atom_site_fract_x
_atom_site_fract_y
_atom_site_fract_z
Li1 0.0000 0.0000 0.0000
Ac1 0.0000 0.0000 0.5000
Ac2 0.3333 0.6667 0.1330
Zn1 0.3333 0.6667 0.5564
Pd1 0.1709 0.3418 0.7887
```

---

[3]
This record from Alexandria via LeMat-Bulk describes a geometry-optimized ThNiH2 structure. The functional is PBE.

- electronic total energy (hartree per atom) = -0.1953
- crystal system = triclinic
- offset from the most stable computed form (meV per atom) = 120

```
data_ThNiH2
_space_group_name_H-M_alt 'P 1'
_space_group_IT_number 1
_cell_length_a 3.913
_cell_length_b 4.134
_cell_length_c 4.143
_cell_angle_alpha 99.67
_cell_angle_beta 112.69
_cell_angle_gamma 112.43
loop_
_space_group_symop_operation_xyz
'x,y,z'
loop_
_atom_site_label
_atom_site_fract_x
_atom_site_fract_y
_atom_site_fract_z
Th1 0.000 0.000 0.000
Ni1 0.996 0.509 0.488
H1 0.332 0.933 0.596
H2 0.663 0.402 0.062
```

---

[4]
This record from Alexandria via LeMat-Bulk describes a geometry-optimized PaInBr6 structure. The functional is PBE.

- electronic total energy (hartree per atom) = -0.1488
- crystal system = monoclinic
- offset from the most stable computed form (meV per atom) = 0
- formation energy without anion corrections (eV per atom) = -1.27

```
data_PaInBr6
_space_group_name_H-M_alt 'C 1 2/m 1'
_space_group_IT_number 12
_cell_length_a 7.753
_cell_length_b 12.587
_cell_length_c 7.478
_cell_angle_alpha 90.00
_cell_angle_beta 105.53
_cell_angle_gamma 90.00
loop_
_space_group_symop_operation_xyz
'x,y,z'
'-x,-y,-z'
'-x,y,-z'
'x,-y,z'
'x+1/2,y+1/2,z'
'-x+1/2,-y+1/2,-z'
'-x+1/2,y+1/2,-z'
'x+1/2,-y+1/2,z'
loop_
_atom_site_label
_atom_site_fract_x
_atom_site_fract_y
_atom_site_fract_z
Pa1 0.000 0.000 0.000
In1 0.000 0.500 0.500
Br1 0.204 0.151 0.221
Br2 0.230 0.000 0.782
```

---

[5]
This record from Alexandria via LeMat-Bulk describes a geometry-optimized KScMo2 structure. The functional is PBE.

- calculated formation energy (eV per atom) = 0.798
- electronic total energy (hartree per atom) = -0.2380
- crystal system = tetragonal
- offset from the most stable computed form (meV per atom) = 317

```
data_KScMo2
_space_group_name_H-M_alt 'P 4/m m m'
_space_group_IT_number 123
_space_group_name_Hall '-P 4 2'
_cell_length_a 2.762
_cell_length_b 2.762
_cell_length_c 10.838
_cell_angle_alpha 90.00
_cell_angle_beta 90.00
_cell_angle_gamma 90.00
loop_
_atom_site_label
_atom_site_fract_x
_atom_site_fract_y
_atom_site_fract_z
K1 0.000 0.000 0.000
Sc1 0.000 0.000 0.500
Mo1 0.500 0.500 0.287
```

---

[6]
This record from Alexandria via LeMat-Bulk describes a geometry-optimized RbCdSnPb2 structure. The functional is PBE.

- calculated formation energy (eV per atom) = -0.084
- electronic total energy (hartree per atom) = -0.1009
- crystal system = tetragonal

```
data_RbCdSnPb2
_space_group_name_H-M_alt 'I -4 m 2'
_space_group_IT_number 119
_space_group_name_Hall 'I -4 -2'
_cell_length_a 4.876
_cell_length_b 4.876
_cell_length_c 14.727
_cell_angle_alpha 90.00
_cell_angle_beta 90.00
_cell_angle_gamma 90.00
loop_
_atom_site_label
_atom_site_fract_x
_atom_site_fract_y
_atom_site_fract_z
Rb1 0.000 0.000 0.000
Cd1 0.000 0.500 0.750
Sn1 0.000 0.500 0.250
Pb1 0.000 0.000 0.382
```

---

[7]
This record from Alexandria via LeMat-Bulk describes a geometry-optimized YAgBi2Pb structure. The functional is PBE.

- calculated formation energy (eV per atom) = 0.235
- electronic total energy (hartree per atom) = -0.1441
- crystal system = tetragonal

```
data_YAgBi2Pb
_space_group_name_H-M_alt 'P 4/m m m'
_space_group_IT_number 123
_space_group_name_Hall '-P 4 2'
_cell_length_a 5.552
_cell_length_b 5.552
_cell_length_c 5.387
_cell_angle_alpha 90.00
_cell_angle_beta 90.00
_cell_angle_gamma 90.00
loop_
_atom_site_label
_atom_site_fract_x
_atom_site_fract_y
_atom_site_fract_z
Y1 0.000 0.000 0.000
Ag1 0.500 0.500 0.500
Bi1 0.000 0.500 0.500
Pb1 0.500 0.500 0.000
```

---

[8]
This record from Alexandria via LeMat-Bulk describes a geometry-optimized K2Cd7Ga structure. The functional is PBE.

- calculated formation energy (eV per atom) = -0.057
- electronic total energy (hartree per atom) = -0.0448
- crystal system = tetragonal

```
data_K2Cd7Ga
_space_group_name_H-M_alt 'P -4 m 2'
_space_group_IT_number 115
_cell_length_a 4.715
_cell_length_b 4.715
_cell_length_c 12.880
_cell_angle_alpha 90.00
_cell_angle_beta 90.00
_cell_angle_gamma 90.00
loop_
_space_group_symop_operation_xyz
'x,y,z'
'y,-x,-z'
'-x,-y,z'
'-y,x,-z'
'-x,y,z'
'-y,-x,-z'
'x,-y,z'
'y,x,-z'
loop_
_atom_site_label
_atom_site_fract_x
_atom_site_fract_y
_atom_site_fract_z
K1 0.000 0.500 0.244
Cd1 0.000 0.000 0.000
Cd2 0.000 0.000 0.500
Cd3 0.000 0.500 0.643
Cd4 0.000 0.500 0.866
Cd5 0.500 0.500 0.500
Ga1 0.500 0.500 0.000
```

---

no.,theoretical density (g/cm³)
1,4.52
2,9.02
3,9.15
4,3.90
5,5.54
6,6.93
7,8.22
8,5.42